1.
A relaxed structure of Tb3CeNd3. Source: Alexandria via LeMat-Bulk, functional GGA-PBE.

Lattice parameters (Å, degrees): 8.1827 8.1826 7.2196 90.00 90.00 89.41
Closest atoms and distances in Å follow each position.
Atoms (fractional coordinates):
Tb: 0.2803 0.2803 0.5012  6 Nd 3.43-3.73, 2 Tb 3.50, 2 Ce 3.60-3.63
Tb: 0.2923 0.7077 0.5000  6 Nd 3.47-3.82, 4 Tb 3.50-3.61
Tb: 0.7077 0.2923 0.5000  6 Nd 3.47-3.82, 4 Tb 3.50-3.61
Tb: 0.2838 0.7162 0.0000  6 Nd 3.43-3.73, 2 Ce 3.47, 2 Tb 3.61
Tb: 0.7162 0.2838 0.0000  6 Nd 3.43-3.73, 2 Ce 3.47, 2 Tb 3.61
Tb: 0.7197 0.7197 0.4988  6 Nd 3.43-3.73, 2 Tb 3.50, 2 Ce 3.60-3.63
Ce: 0.2915 0.2915 0.9990  4 Nd 3.41-3.42, 4 Tb 3.47-3.63
Ce: 0.7085 0.7085 0.0010  4 Nd 3.41-3.42, 4 Tb 3.47-3.63
Nd: 0.9994 0.9994 0.7505  2 Nd 3.60-3.62, 6 Tb 3.73-3.82, 2 Ce 3.84
Nd: 0.4993 0.0005 0.2459  2 Ce 3.41-3.42, 6 Tb 3.43-3.47, 2 Nd 3.55-3.67
Nd: 0.0005 0.4993 0.2459  2 Ce 3.41-3.42, 6 Tb 3.43-3.47, 2 Nd 3.55-3.67
Nd: 0.5007 0.9995 0.7541  2 Ce 3.41-3.42, 6 Tb 3.43-3.47, 2 Nd 3.55-3.67
Nd: 0.9995 0.5007 0.7541  2 Ce 3.41-3.42, 6 Tb 3.43-3.47, 2 Nd 3.55-3.67
Nd: 0.0006 0.0006 0.2495  2 Nd 3.60-3.62, 6 Tb 3.73-3.82, 2 Ce 3.84

Its total energy is -65.40 eV/cell. The calculation puts the calculated formation energy at 0.204 eV per atom. The size of the total moment comes out at 2.562 Bohr magnetons per cell.


2.
A relaxed structure of Ti6Mn5Al. Source: Alexandria via LeMat-Bulk, functional GGA-PBE.

Lattice parameters (Å, degrees): 4.2323 6.0671 7.3717 114.30 106.68 90.00
Closest atoms and distances in Å follow each position.
Atoms (fractional coordinates):
Mn: 0.6613 0.1613 0.3227  8 Ti 2.58-2.63
Mn: 0.3322 0.3322 0.6644  8 Ti 2.56-2.58
Mn: 0.0000 0.5000 0.0000  8 Ti 2.54-2.64
Mn: 0.6678 0.6678 0.3356  8 Ti 2.56-2.58
Mn: 0.3387 0.8387 0.6773  8 Ti 2.58-2.63
Al: 0.0000 0.0000 0.0000  8 Ti 2.67-2.69, 4 Mn 2.95
Ti: 0.8278 0.5704 0.6556  7 Mn 2.57-2.64, 1 Al 2.69
Ti: 0.8278 0.0852 0.6556  7 Mn 2.57-2.64, 1 Al 2.69
Ti: 0.5000 0.7321 0.0000  6 Mn 2.54-2.62, 2 Al 2.67, 1 Ti 2.82
Ti: 0.5000 0.2679 0.0000  6 Mn 2.54-2.62, 2 Al 2.67, 1 Ti 2.82
Ti: 0.1722 0.9148 0.3444  7 Mn 2.57-2.64, 1 Al 2.69
Ti: 0.1722 0.4296 0.3444  7 Mn 2.57-2.64, 1 Al 2.69

Its total energy is -100.18 eV/cell. The calculation puts the calculated formation energy at -0.268 eV per atom. The size of the total moment comes out at 1.185 Bohr magnetons per cell.


3.
A relaxed structure of Sc5As4P. Source: Alexandria via LeMat-Bulk, functional GGA-PBE.

Lattice parameters (Å, degrees): 5.4550 6.6778 6.6778 80.40 65.89 65.89
Closest atoms and distances in Å follow each position.
Atoms (fractional coordinates):
Sc: 0.9024 0.3930 0.8042  1 P 2.68, 5 As 2.73-2.76
Sc: 0.2954 0.8042 0.6070  1 P 2.68, 5 As 2.73-2.76
Sc: 0.7066 0.1958 0.3930  1 P 2.68, 5 As 2.73-2.76
Sc: 0.0996 0.6070 0.1958  1 P 2.68, 5 As 2.73-2.76
Sc: 0.5012 0.0000 0.0000  4 As 2.73, 2 P 2.73
As: 0.4026 0.3989 0.7979  6 Sc 2.73-2.76
As: 0.8015 0.7979 0.6011  6 Sc 2.73-2.76
As: 0.2005 0.2021 0.3989  6 Sc 2.73-2.76
As: 0.5994 0.6011 0.2021  6 Sc 2.73-2.76
P: 0.0012 0.0000 0.0000  6 Sc 2.68-2.73

Its total energy is -69.63 eV/cell. The calculation puts the calculated formation energy at -1.396 eV per atom. The size of the total moment comes out at 0.000 Bohr magnetons per cell.


4.
A relaxed structure of PmBeGe. Source: Alexandria via LeMat-Bulk, functional GGA-PBE.

Lattice parameters (Å, degrees): 3.9808 3.9808 8.4384 90.00 90.00 120.00
Closest atoms and distances in Å follow each position.
Atoms (fractional coordinates):
Pm: 0.0000 0.5000 0.5000  6 Ge 3.12, 6 Be 3.12
Pm: 0.0000 0.5000 0.0000  6 Ge 3.12, 6 Be 3.12
Be: 0.6666 0.8334 0.7500  3 Ge 2.30
Be: 0.3334 0.1666 0.2500  3 Ge 2.30
Ge: 0.3332 0.1668 0.7500  3 Be 2.30
Ge: 0.6668 0.8332 0.2500  3 Be 2.30

Its total energy is -30.14 eV/cell. As for the relative energy among the computed polymorphs: 0.000 eV per atom. The calculation puts the calculated formation energy at -0.659 eV per atom. The size of the total moment comes out at 0.000 Bohr magnetons per cell.


5.
A relaxed structure of TbTm2Th3. Source: Alexandria via LeMat-Bulk, functional GGA-PBE.

Lattice parameters (Å, degrees): 6.6920 11.2518 7.5859 137.87 89.94 90.00
Closest atoms and distances in Å follow each position.
Atoms (fractional coordinates):
Tb: 0.2500 0.2302 0.0000  6 Tm 3.40-3.78, 6 Th 3.47-3.53
Tb: 0.7500 0.7698 0.0000  6 Tm 3.40-3.78, 6 Th 3.47-3.53
Tm: 0.7498 0.4369 0.3326  3 Tm 3.38-3.79, 3 Tb 3.40-3.78, 6 Th 3.47-3.51
Tm: 0.2502 0.5631 0.6674  3 Tm 3.38-3.79, 3 Tb 3.40-3.78, 6 Th 3.47-3.51
Tm: 0.2498 0.8957 0.3326  3 Tm 3.38-3.79, 3 Tb 3.40-3.78, 6 Th 3.47-3.51
Tm: 0.7502 0.1043 0.6674  3 Tm 3.38-3.79, 3 Tb 3.40-3.78, 6 Th 3.47-3.51
Th: 0.0004 0.1673 0.3344  4 Th 3.35-3.40, 4 Tm 3.47-3.51, 2 Tb 3.52-3.53
Th: 0.4996 0.8329 0.6656  4 Th 3.35-3.40, 4 Tm 3.47-3.51, 2 Tb 3.52-3.53
Th: 0.0000 0.5000 0.0000  4 Th 3.35-3.39, 2 Tb 3.47, 4 Tm 3.51
Th: 0.5000 0.5000 0.0000  4 Th 3.35-3.39, 2 Tb 3.47, 4 Tm 3.51
Th: 0.9996 0.8327 0.6656  4 Th 3.35-3.40, 4 Tm 3.47-3.51, 2 Tb 3.52-3.53
Th: 0.5004 0.1671 0.3344  4 Th 3.35-3.40, 4 Tm 3.47-3.51, 2 Tb 3.52-3.53

Its total energy is -69.46 eV/cell. As for the relative energy among the computed polymorphs: 0.055 eV per atom. The calculation puts the calculated formation energy at 0.184 eV per atom. The size of the total moment comes out at 0.000 Bohr magnetons per cell.


6.
A relaxed structure of LaInMo2. Source: Alexandria via LeMat-Bulk, functional GGA-PBE.

Lattice parameters (Å, degrees): 4.9271 4.9271 4.9271 60.00 60.00 60.00
Closest atoms and distances in Å follow each position.
Atoms (fractional coordinates):
In: 0.5000 0.5000 0.5000  4 Mo 3.02, 4 La 3.02
La: 0.7500 0.7500 0.7500  4 Mo 3.02, 4 In 3.02
Mo: 0.0000 0.0000 0.0000  4 Mo 3.02, 4 La 3.02
Mo: 0.2500 0.2500 0.2500  4 In 3.02, 4 Mo 3.02

Its total energy is -27.38 eV/cell. The calculation puts the calculated formation energy at 0.488 eV per atom. The size of the total moment comes out at 0.001 Bohr magnetons per cell.